First-principles (GGA-PBE) data for a geometry-optimized RbPb2WCl structure, as listed in Alexandria via LeMat-Bulk.

Output
Theoretical density ... 5746 kg/m3
Size of the total moment ... 1.92 μB per cell
D(E_F) ... 2.2 states/eV per cell
Energy ... -4.233 eV/atom
Crystal system ... tetragonal
Formation energy without anion corrections ... 0.4042 eV/atom

a b c (Å): 5.332 5.332 7.311
angles (deg): 90.00 90.00 90.00
Sites, in units of the cell vectors:
Rb  0.000  0.000  0.000
Pb  0.000  0.500  0.500
Pb  0.500  0.000  0.500
W  0.000  0.000  0.500
Cl  0.500  0.500  0.000


First-principles (GGA-PBE) data for a geometry-optimized Rb2PbWCl6 structure, as listed in Alexandria via LeMat-Bulk.

Output
Theoretical density ... 3982 kg/m3
Size of the total moment ... 3.99 μB per cell
D(E_F) ... 2.9 states/eV per cell
Energy ... -4.031 eV/atom
Crystal system ... tetragonal
Formation energy without anion corrections ... -1.0634 eV/atom

a b c (Å): 7.708 7.708 7.708
angles (deg): 120.17 120.17 89.71
Sites, in units of the cell vectors:
Rb  0.250  0.750  0.500
Rb  0.750  0.250  0.500
Pb  0.000  0.000  0.000
W  0.500  0.500  0.000
Cl  0.272  0.272  0.000
Cl  0.272  0.272  0.543
Cl  0.272  0.728  0.000
Cl  0.728  0.272  0.000
Cl  0.728  0.728  0.000
Cl  0.728  0.728  0.457


First-principles (GGA-PBE) data for a geometry-optimized RbYPb2Cl8 structure, as listed in Alexandria via LeMat-Bulk.

Output
Theoretical density ... 3543 kg/m3
Size of the total moment ... 0.00 μB per cell
D(E_F) ... 0.0 states/eV per cell
Energy ... -4.128 eV/atom
Crystal system ... triclinic
Formation energy without anion corrections ... -1.6600 eV/atom

a b c (Å): 6.598 6.869 9.023
angles (deg): 89.99 89.96 88.94
Sites, in units of the cell vectors:
Rb  0.000  0.000  0.000
Y  0.000  0.000  0.500
Pb  0.500  0.500  0.251
Pb  0.500  0.500  0.749
Cl  0.232  0.840  0.290
Cl  0.232  0.840  0.709
Cl  0.244  0.312  0.500
Cl  0.277  0.376  0.000
Cl  0.723  0.624  0.000
Cl  0.756  0.688  0.500
Cl  0.768  0.160  0.291
Cl  0.768  0.160  0.710


First-principles (GGA-PBE) data for a geometry-optimized Rb2ZnPbCl6 structure, as listed in Alexandria via LeMat-Bulk.

Output
Theoretical density ... 3640 kg/m3
Size of the total moment ... 0.00 μB per cell
D(E_F) ... 0.0 states/eV per cell
Energy ... -3.256 eV/atom
Crystal system ... triclinic
Formation energy without anion corrections ... -1.4563 eV/atom

a b c (Å): 7.443 7.444 7.446
angles (deg): 61.17 61.16 61.18
Sites, in units of the cell vectors:
Rb  0.245  0.245  0.245
Rb  0.755  0.755  0.755
Zn  0.000  0.000  0.000
Pb  0.500  0.500  0.500
Cl  0.174  0.290  0.773
Cl  0.228  0.826  0.710
Cl  0.289  0.773  0.174
Cl  0.711  0.227  0.826
Cl  0.772  0.174  0.290
Cl  0.826  0.710  0.227


First-principles (GGA-PBE) data for a geometry-optimized RePbCl2 structure, as listed in Alexandria via LeMat-Bulk.

Output
Polymorph energy (0 for the lowest one) ... 354 meV/atom
Theoretical density ... 8504 kg/m3
Size of the total moment ... 0.00 μB per cell
D(E_F) ... 3.3 states/eV per cell
Energy ... -4.511 eV/atom
Crystal system ... orthorhombic
Formation energy without anion corrections ... 0.4510 eV/atom

a b c (Å): 3.321 3.321 9.640
angles (deg): 90.00 90.00 121.48
Sites, in units of the cell vectors:
Re  0.000  0.000  0.000
Pb  0.500  0.500  0.256
Cl  0.000  0.000  0.486
Cl  0.500  0.500  0.823


First-principles (GGA-PBE) data for a geometry-optimized RePbCl2 structure, as listed in Alexandria via LeMat-Bulk.

Output
Polymorph energy (0 for the lowest one) ... 132 meV/atom
Theoretical density ... 9054 kg/m3
Size of the total moment ... 0.00 μB per cell
D(E_F) ... 3.0 states/eV per cell
Energy ... -4.733 eV/atom
Crystal system ... trigonal
Formation energy without anion corrections ... 0.2290 eV/atom

a b c (Å): 10.084 10.084 10.084
angles (deg): 17.96 17.96 17.96
Sites, in units of the cell vectors:
Re  0.000  0.000  0.000
Pb  0.500  0.500  0.500
Cl  0.076  0.076  0.076
Cl  0.924  0.924  0.924


First-principles (GGA-PBE) data for a geometry-optimized RePbCl2 structure, as listed in Alexandria via LeMat-Bulk.

Output
Polymorph energy (0 for the lowest one) ... 181 meV/atom
Theoretical density ... 7783 kg/m3
Size of the total moment ... 0.00 μB per cell
D(E_F) ... 4.0 states/eV per cell
Energy ... -4.684 eV/atom
Crystal system ... orthorhombic
Formation energy without anion corrections ... 0.2781 eV/atom

a b c (Å): 3.247 3.247 11.372
angles (deg): 90.00 90.00 124.30
Sites, in units of the cell vectors:
Re  0.000  0.000  0.000
Pb  0.000  0.000  0.500
Cl  0.500  0.500  0.165
Cl  0.500  0.500  0.835


First-principles (GGA-PBE) data for a geometry-optimized RePbCl2 structure, as listed in Alexandria via LeMat-Bulk.

Output
Polymorph energy (0 for the lowest one) ... 534 meV/atom
Theoretical density ... 8814 kg/m3
Size of the total moment ... 2.99 μB per cell
D(E_F) ... 1.2 states/eV per cell
Energy ... -4.332 eV/atom
Crystal system ... orthorhombic
Formation energy without anion corrections ... 0.6306 eV/atom

a b c (Å): 3.200 4.714 5.798
angles (deg): 90.00 90.00 90.00
Sites, in units of the cell vectors:
Re  0.000  0.000  0.000
Pb  0.500  0.000  0.500
Cl  0.000  0.500  0.500
Cl  0.500  0.500  0.000


First-principles (GGA-PBE) data for a geometry-optimized RePbCl2 structure, as listed in Alexandria via LeMat-Bulk.

Output
Polymorph energy (0 for the lowest one) ... 771 meV/atom
Theoretical density ... 8513 kg/m3
Size of the total moment ... 3.68 μB per cell
D(E_F) ... 1.7 states/eV per cell
Energy ... -4.094 eV/atom
Crystal system ... orthorhombic
Formation energy without anion corrections ... 0.8681 eV/atom

a b c (Å): 3.222 4.352 6.459
angles (deg): 90.00 90.00 90.00
Sites, in units of the cell vectors:
Re  0.000  0.000  0.000
Pb  0.000  0.000  0.500
Cl  0.500  0.500  0.234
Cl  0.500  0.500  0.766


First-principles (GGA-PBE) data for a geometry-optimized RePbCl structure, as listed in Alexandria via LeMat-Bulk.

Output
Polymorph energy (0 for the lowest one) ... 0 meV/atom
Theoretical density ... 10251 kg/m3
Size of the total moment ... 0.00 μB per cell
D(E_F) ... 1.6 states/eV per cell
Energy ... -5.446 eV/atom
Crystal system ... trigonal
Formation energy without anion corrections ... 0.5549 eV/atom

a b c (Å): 3.221 3.221 7.734
angles (deg): 90.00 90.00 120.00
Sites, in units of the cell vectors:
Re  0.000  0.000  0.000
Pb  0.667  0.333  0.696
Cl  0.333  0.667  0.203


First-principles (GGA-PBE) data for a geometry-optimized RePbCl2 structure, as listed in Alexandria via LeMat-Bulk.

Output
Polymorph energy (0 for the lowest one) ... 571 meV/atom
Theoretical density ... 8812 kg/m3
Size of the total moment ... 2.98 μB per cell
D(E_F) ... 1.7 states/eV per cell
Energy ... -4.294 eV/atom
Crystal system ... monoclinic
Formation energy without anion corrections ... 0.6682 eV/atom

a b c (Å): 5.728 5.728 3.307
angles (deg): 106.42 106.42 111.28
Sites, in units of the cell vectors:
Re  0.000  0.000  0.000
Pb  0.500  0.500  0.000
Cl  0.000  0.500  0.000
Cl  0.500  0.000  0.000


First-principles (GGA-PBE) data for a geometry-optimized RePbCl2 structure, as listed in Alexandria via LeMat-Bulk.

Output
Polymorph energy (0 for the lowest one) ... 212 meV/atom
Theoretical density ... 8368 kg/m3
Size of the total moment ... 0.04 μB per cell
D(E_F) ... 4.2 states/eV per cell
Energy ... -4.654 eV/atom
Crystal system ... monoclinic
Formation energy without anion corrections ... 0.3086 eV/atom

a b c (Å): 3.117 4.566 6.481
angles (deg): 90.00 92.27 90.00
Sites, in units of the cell vectors:
Re  0.000  0.000  0.000
Pb  0.476  0.500  0.696
Cl  0.009  0.500  0.101
Cl  0.524  0.000  0.289


Q: theoretical density of number 1 (RbPb2WCl)?
A: 5746 kg/m3


Copy entry 8 word for word.
First-principles (GGA-PBE) data for a geometry-optimized RePbCl2 structure, as listed in Alexandria via LeMat-Bulk.

Output
Polymorph energy (0 for the lowest one) ... 534 meV/atom
Theoretical density ... 8814 kg/m3
Size of the total moment ... 2.99 μB per cell
D(E_F) ... 1.2 states/eV per cell
Energy ... -4.332 eV/atom
Crystal system ... orthorhombic
Formation energy without anion corrections ... 0.6306 eV/atom

a b c (Å): 3.200 4.714 5.798
angles (deg): 90.00 90.00 90.00
Sites, in units of the cell vectors:
Re  0.000  0.000  0.000
Pb  0.500  0.000  0.500
Cl  0.000  0.500  0.500
Cl  0.500  0.500  0.000